1.
Computed, not measured: crystalline K2PaCO6 at its relaxed geometry at the PBE level of DFT.

Cell: 6.060 6.060 6.685 Å, 123.39 123.39 77.60°
Element x y z (fractional)
K 0.250 0.750 0.000
K 0.750 0.250 0.000
Pa 0.000 0.000 0.500
C 0.500 0.500 0.500
O 0.212 0.212 0.925
O 0.214 0.214 0.502
O 0.345 0.655 0.500
O 0.655 0.345 0.500
O 0.786 0.786 0.498
O 0.788 0.788 0.075

calculated volume	17.0	A^3/atom
uncorrected formation energy	-44.59	kcal/mol of atoms
space-group type	C2/m (12)
total energy	-7.000	eV/atom

***

2.
Computed, not measured: crystalline KPaC2O8 at its relaxed geometry at the PBE level of DFT.

Cell: 5.164 5.164 7.904 Å, 90.00 90.00 120.00°
Element x y z (fractional)
K 0.000 0.000 0.000
Pa 0.000 0.000 0.500
C 0.333 0.667 0.725
C 0.667 0.333 0.275
O 0.131 0.379 0.666
O 0.248 0.869 0.666
O 0.333 0.667 0.896
O 0.379 0.248 0.334
O 0.621 0.752 0.666
O 0.667 0.333 0.104
O 0.752 0.131 0.334
O 0.869 0.621 0.334

calculated volume	15.2	A^3/atom
uncorrected formation energy	-39.11	kcal/mol of atoms
space-group type	P-3 (147)
total energy	-7.421	eV/atom

***

3.
Computed, not measured: crystalline KPb2C2O6 at its relaxed geometry at the PBE level of DFT.

Cell: 4.858 6.246 7.094 Å, 112.39 94.76 105.78°
Element x y z (fractional)
K 0.000 0.000 0.000
Pb 0.165 0.370 0.635
Pb 0.835 0.630 0.365
C 0.497 0.982 0.700
C 0.503 0.018 0.300
O 0.221 0.968 0.655
O 0.306 0.809 0.195
O 0.440 0.223 0.359
O 0.560 0.777 0.641
O 0.694 0.191 0.805
O 0.779 0.032 0.345

calculated volume	17.0	A^3/atom
uncorrected formation energy	-29.91	kcal/mol of atoms
space-group type	P-1 (2)
total energy	-6.452	eV/atom

***

4.
Computed, not measured: crystalline KPbC2O6 at its relaxed geometry at the PBE level of DFT.

Cell: 6.878 6.878 7.010 Å, 103.14 103.14 95.11°
Element x y z (fractional)
K 0.107 0.893 0.750
K 0.893 0.107 0.250
Pb 0.348 0.652 0.250
Pb 0.652 0.348 0.750
C 0.155 0.377 0.762
C 0.377 0.155 0.262
C 0.623 0.845 0.738
C 0.845 0.623 0.238
O 0.030 0.710 0.332
O 0.195 0.554 0.883
O 0.267 0.291 0.219
O 0.290 0.970 0.168
O 0.291 0.267 0.719
O 0.446 0.805 0.617
O 0.554 0.195 0.383
O 0.709 0.733 0.281
O 0.710 0.030 0.832
O 0.733 0.709 0.781
O 0.805 0.446 0.117
O 0.970 0.290 0.668

calculated volume	15.5	A^3/atom
uncorrected formation energy	-32.66	kcal/mol of atoms
space-group type	C2/c (15)
total energy	-6.717	eV/atom

***

5.
Computed, not measured: crystalline KPdC2O6 at its relaxed geometry at the PBE level of DFT.

Cell: 6.924 6.924 6.924 Å, 41.74 41.74 41.74°
Element x y z (fractional)
K 0.000 0.000 0.000
Pd 0.500 0.500 0.500
C 0.228 0.228 0.228
C 0.772 0.772 0.772
O 0.043 0.747 0.518
O 0.253 0.482 0.957
O 0.482 0.957 0.253
O 0.518 0.043 0.747
O 0.747 0.518 0.043
O 0.957 0.253 0.482

calculated volume	13.3	A^3/atom
uncorrected formation energy	-27.31	kcal/mol of atoms
space-group type	R-3 (148)
total energy	-6.633	eV/atom

***

6.
Computed, not measured: crystalline K2PdC2O6 at its relaxed geometry at the PBE level of DFT.

Cell: 6.358 6.358 6.325 Å, 114.94 114.94 46.90°
Element x y z (fractional)
K 0.195 0.195 0.206
K 0.805 0.805 0.794
Pd 0.000 0.000 0.500
C 0.499 0.499 0.271
C 0.501 0.501 0.729
O 0.210 0.649 0.236
O 0.351 0.790 0.764
O 0.383 0.383 0.674
O 0.617 0.617 0.326
O 0.649 0.210 0.236
O 0.790 0.351 0.764

calculated volume	15.1	A^3/atom
uncorrected formation energy	-32.72	kcal/mol of atoms
space-group type	C2/m (12)
total energy	-6.472	eV/atom